(1)
VASP calculation (GGA-PBE) on a geometry-optimized MgCu3Si structure.

Summary:
Space-group type: Pm-3m, No. 221
Magnetization: 0.0 μB/f.u.
Density of states at the Fermi level: 2.36 states/eV/cell
Polymorph energy (0 for the lowest one): 1061.7 meV per atom
Total energy: -2.723 eV/atom
V: 18.49 A^3/atom
E_form (uncorrected): 1138 meV per atom

The structure in CIF format:
```
data_MgCu3Si
_symmetry_space_group_name_H-M 'P 1'
_symmetry_Int_Tables_number 1
_cell_length_a 4.5216
_cell_length_b 4.5216
_cell_length_c 4.5216
_cell_angle_alpha 90.00
_cell_angle_beta 90.00
_cell_angle_gamma 90.00
loop_
_symmetry_equiv_pos_as_xyz
'x,y,z'
loop_
_atom_site_label
_atom_site_fract_x
_atom_site_fract_y
_atom_site_fract_z
Mg1 0.0000 0.0000 0.0000
Cu1 0.0000 0.0000 0.5000
Cu2 0.0000 0.5000 0.0000
Cu3 0.5000 0.0000 0.0000
Si1 0.5000 0.5000 0.5000
```

***

(2)
VASP calculation (GGA-PBE) on a geometry-optimized Mg2CuSi structure.

Summary:
Space-group type: F-43m, No. 216
Magnetization: 0.0 μB/f.u.
Density of states at the Fermi level: 1.83 states/eV/cell
Total energy: -3.044 eV/atom
V: 16.59 A^3/atom
E_form (uncorrected): 133 meV per atom

The structure in CIF format:
```
data_Mg2CuSi
_symmetry_space_group_name_H-M 'P 1'
_symmetry_Int_Tables_number 1
_cell_length_a 4.5444
_cell_length_b 4.5444
_cell_length_c 4.5444
_cell_angle_alpha 60.00
_cell_angle_beta 60.00
_cell_angle_gamma 60.00
loop_
_symmetry_equiv_pos_as_xyz
'x,y,z'
loop_
_atom_site_label
_atom_site_fract_x
_atom_site_fract_y
_atom_site_fract_z
Mg1 0.0000 0.0000 0.0000
Mg2 0.2500 0.2500 0.2500
Cu1 0.5000 0.5000 0.5000
Si1 0.7500 0.7500 0.7500
```